Below is a relaxed structure of KNpVO6, with properties calculated at the PBE+U level.

Geometry as POSCAR:
```
KNpVO6
1.0
2.570 -5.531 0.000
2.570 5.531 0.000
-0.562 0.000 5.796
K Np V O
1 1 1 6
direct
0.000 0.000 0.000
0.305 0.695 0.500
0.588 0.412 0.500
0.054 0.444 0.259
0.340 0.376 0.668
0.408 0.076 0.341
0.556 0.946 0.741
0.624 0.660 0.332
0.924 0.592 0.659
```

Calculated values
M_tot = 0.111 μB/atom
Calculated volume = 18.30 Å³ per atom
Fermi-level density of states = 3.5 states/eV/cell
SG = C2, No. 5
Total DFT energy (no corrections) = -72.2 eV for the cell shown